(P)
VASP calculation (PBE-GGA) on a relaxed structure of YRePS2.

Unit cell a=5.115 b=5.115 c=5.422 alpha=90.00 beta=90.00 gamma=90.00
Atoms (fractional coordinates):
Y (0.000, 0.000, 0.000)
Re (0.500, 0.500, 0.500)
S (0.000, 0.500, 0.000)
S (0.500, 0.000, 0.000)
P (0.000, 0.000, 0.500)

## Properties
Density   4.33 Mg/m³

***

(Q)
VASP calculation (PBE-GGA) on a relaxed structure of YRePS2.

Unit cell a=4.755 b=4.755 c=4.533 alpha=90.00 beta=90.00 gamma=90.00
Atoms (fractional coordinates):
Y (0.500, 0.500, 0.500)
Re (0.000, 0.000, 0.000)
S (0.000, 0.500, 0.000)
S (0.500, 0.000, 0.000)
P (0.000, 0.000, 0.500)

## Properties
Density   6.00 Mg/m³

***

Which structure is the most stable? The one labeled (Q).

***

(P)
VASP calculation (PBE-GGA) on a relaxed structure of ZrRePS2.

Unit cell a=4.853 b=4.853 c=5.274 alpha=90.00 beta=90.00 gamma=90.00
Atoms (fractional coordinates):
Re (0.500, 0.500, 0.500)
S (0.000, 0.500, 0.000)
S (0.500, 0.000, 0.000)
Zr (0.000, 0.000, 0.000)
P (0.000, 0.000, 0.500)

## Properties
Density   4.98 Mg/m³

***

(Q)
VASP calculation (PBE-GGA) on a relaxed structure of ZrRePS2.

Unit cell a=4.595 b=4.595 c=4.658 alpha=90.00 beta=90.00 gamma=90.00
Atoms (fractional coordinates):
Re (0.000, 0.000, 0.000)
S (0.000, 0.500, 0.000)
S (0.500, 0.000, 0.000)
Zr (0.500, 0.500, 0.500)
P (0.000, 0.000, 0.500)

## Properties
Density   6.29 Mg/m³

***

Which structure is the most stable? The one labeled (Q).

***

(P)
VASP calculation (PBE-GGA) on a relaxed structure of ScRe3P.

Unit cell a=4.418 b=4.418 c=4.418 alpha=90.00 beta=90.00 gamma=90.00
Atoms (fractional coordinates):
Sc (0.500, 0.500, 0.500)
Re (0.000, 0.500, 0.000)
Re (0.000, 0.000, 0.500)
Re (0.500, 0.000, 0.000)
P (0.000, 0.000, 0.000)

## Properties
Density   12.22 Mg/m³

***

(Q)
VASP calculation (PBE-GGA) on a relaxed structure of ScRe3P.

Unit cell a=4.619 b=4.619 c=4.619 alpha=90.00 beta=90.00 gamma=90.00
Atoms (fractional coordinates):
Sc (0.000, 0.000, 0.000)
Re (0.000, 0.500, 0.000)
Re (0.000, 0.000, 0.500)
Re (0.500, 0.000, 0.000)
P (0.500, 0.500, 0.500)

## Properties
Density   10.69 Mg/m³

***

Which structure is the most stable? The one labeled (P).

***

(P)
VASP calculation (PBE-GGA) on a relaxed structure of ScReP.

Unit cell a=4.149 b=4.149 c=4.149 alpha=60.00 beta=60.00 gamma=60.00
Atoms (fractional coordinates):
Sc (0.500, 0.500, 0.500)
Re (0.000, 0.000, 0.000)
P (0.750, 0.750, 0.750)

## Properties
Density   8.62 Mg/m³

***

(Q)
VASP calculation (PBE-GGA) on a relaxed structure of ScReP.

Unit cell a=6.394 b=6.136 c=2.968 alpha=81.20 beta=71.50 gamma=27.30
Atoms (fractional coordinates):
Sc (0.659, 0.659, 0.341)
Re (0.349, 0.349, 0.651)
P (0.992, 0.992, 0.008)

## Properties
Density   9.00 Mg/m³

***

Which structure is the most stable? The one labeled (P).